# MgMn3Co

A relaxed MgMn3Co crystal (PBE-GGA, the Alexandria database).

It has space group Pm-3m (No. 221), with a = 4.217 Å, b = 4.217 Å, c = 4.217 Å, α = 90.00°, β = 90.00° and γ = 90.00°. The inequivalent atoms are Mg at (0.000, 0.000, 0.000), Mn at (0.000, 0.500, 0.500) and Co at (0.500, 0.500, 0.500).

For the density of states at the Fermi level, the calculation gives 2.08 states/eV/atom. As for the energy above the most stable polymorph in this dataset: 0.0 meV per atom. As for the raw total energy: -6.057 eV per atom.